Crystalline MnBe2Nb at its relaxed geometry, computed with PBE.

CIF file:
```
data_MnBe2Nb
_cell_length_a 2.7725
_cell_length_b 2.7725
_cell_length_c 6.1136
_cell_angle_alpha 90.00
_cell_angle_beta 90.00
_cell_angle_gamma 90.00
_symmetry_space_group_name_H-M 'P 4/m m m'
_symmetry_Int_Tables_number 123
_symmetry_space_group_name_Hall '-P 4 2'
loop_
_atom_site_label
_atom_site_type_symbol
_atom_site_fract_x
_atom_site_fract_y
_atom_site_fract_z
Mn1 Mn 0.0000 0.0000 0.0000
Be1 Be 0.5000 0.5000 0.2107
Nb1 Nb 0.0000 0.0000 0.5000
```

Properties
Energy relative to the lowest polymorph listed for this composition = 0.000 eV/atom
Formation energy = -39 meV per atom
VASP energy = -26.850 eV per cell

***

Crystalline Ir2RhCl at its relaxed geometry, computed with PBE.

CIF file:
```
data_Ir2RhCl
_cell_length_a 2.8250
_cell_length_b 3.5473
_cell_length_c 6.5617
_cell_angle_alpha 90.00
_cell_angle_beta 90.00
_cell_angle_gamma 90.00
_symmetry_space_group_name_H-M 'P m m 2'
_symmetry_Int_Tables_number 25
loop_
_symmetry_equiv_pos_as_xyz
'x,y,z'
'-x,-y,z'
'-x,y,z'
'x,-y,z'
loop_
_atom_site_label
_atom_site_type_symbol
_atom_site_fract_x
_atom_site_fract_y
_atom_site_fract_z
Ir1 Ir 0.0000 0.0000 0.0000
Ir2 Ir 0.5000 0.5000 0.1998
Rh1 Rh 0.5000 0.5000 0.7846
Cl1 Cl 0.5000 0.0000 0.4899
```

Properties
Energy relative to the lowest polymorph listed for this composition = 0.000 eV/atom
VASP energy = -25.441 eV per cell
Raw formation energy = 370 meV/atom